Entry P
Ba3SrCa7 (PBE, optimized geometry); total moment = 0.0 μB per formula unit; volume = 49.810 A^3/atom; SG = Cmcm
1.0
2.0429 -13.2925 0.0000
2.0429 13.2925 0.0000
0.0000 0.0000 20.1767
Ba Sr Ca
6 2 14
Direct
0.0588 0.9412 0.5870 Ba
0.0588 0.9412 0.9130 Ba
0.3413 0.6587 0.2500 Ba
0.6587 0.3413 0.7500 Ba
0.9412 0.0588 0.0870 Ba
0.9412 0.0588 0.4130 Ba
0.1198 0.8802 0.2500 Sr
0.8802 0.1198 0.7500 Sr
0.2772 0.7228 0.6519 Ca
0.2772 0.7228 0.8481 Ca
0.3088 0.6912 0.0344 Ca
0.3088 0.6912 0.4656 Ca
0.4196 0.5804 0.5897 Ca
0.4196 0.5804 0.9103 Ca
0.4947 0.5053 0.2500 Ca
0.5053 0.4947 0.7500 Ca
0.5804 0.4196 0.0897 Ca
0.5804 0.4196 0.4103 Ca
0.6912 0.3088 0.5344 Ca
0.6912 0.3088 0.9656 Ca
0.7228 0.2772 0.1519 Ca
0.7228 0.2772 0.3481 Ca

***

Entry Q
Ba3SrCa7 (PBE, optimized geometry); total moment = 0.0 μB per formula unit; volume = 52.833 A^3/atom; SG = C2/m
1.0
6.6706 -6.6607 0.0000
6.6706 6.6607 0.0000
-2.7808 0.0000 6.5401
Ba Sr Ca
3 1 7
Direct
0.0000 0.0000 0.0000 Ba
0.2174 0.7826 0.5000 Ba
0.7826 0.2174 0.5000 Ba
0.5000 0.5000 0.0000 Sr
0.0668 0.5799 0.8190 Ca
0.2244 0.2244 0.5615 Ca
0.4201 0.9332 0.1810 Ca
0.5000 0.5000 0.5000 Ca
0.5799 0.0668 0.8190 Ca
0.7756 0.7756 0.4385 Ca
0.9332 0.4201 0.1810 Ca

***

Energy comparison, zero being the most stable, in meV/atom: entry P 0; entry Q 158.

***

Entry P
BaSrCa5 (PBE, optimized geometry); total moment = 0.0 μB per formula unit; volume = 51.194 A^3/atom; SG = P4/mmm
1.0
5.3307 0.0000 0.0000
0.0000 5.3307 0.0000
0.0000 0.0000 12.6110
Ba Sr Ca
1 1 5
Direct
0.0000 0.0000 0.0000 Ba
0.5000 0.5000 0.5000 Sr
0.0000 0.0000 0.5000 Ca
0.0000 0.5000 0.2640 Ca
0.0000 0.5000 0.7360 Ca
0.5000 0.0000 0.2640 Ca
0.5000 0.0000 0.7360 Ca

***

Entry Q
BaSrCa5 (PBE, optimized geometry); total moment = 0.0 μB per formula unit; volume = 47.483 A^3/atom; SG = C2/c
1.0
4.6182 -5.5104 0.0000
4.6182 5.5104 0.0000
-3.8195 0.0000 13.0614
Ba Sr Ca
2 2 10
Direct
0.2197 0.7803 0.7500 Ba
0.7803 0.2197 0.2500 Ba
0.0000 0.5000 0.0000 Sr
0.5000 0.0000 0.5000 Sr
0.0864 0.2748 0.5457 Ca
0.1338 0.8662 0.2500 Ca
0.2748 0.0864 0.0457 Ca
0.3465 0.4423 0.3509 Ca
0.4423 0.3465 0.8509 Ca
0.5577 0.6535 0.1491 Ca
0.6535 0.5577 0.6491 Ca
0.7252 0.9136 0.9543 Ca
0.8662 0.1338 0.7500 Ca
0.9136 0.7252 0.4543 Ca

***

Energy comparison, zero being the most stable, in meV/atom: entry P 87; entry Q 0.

***

Entry P
Ba3Sr2Ca2 (PBE, optimized geometry); total moment = 0.0 μB per formula unit; volume = 54.190 A^3/atom; SG = C2/m
1.0
7.6604 -2.3713 0.0000
7.6604 2.3713 0.0000
-1.7564 0.0000 10.4413
Ba Sr Ca
3 2 2
Direct
0.0000 0.0000 0.0000 Ba
0.2771 0.2771 0.8444 Ba
0.7229 0.7229 0.1556 Ba
0.1369 0.1369 0.4399 Sr
0.8631 0.8631 0.5601 Sr
0.4361 0.4361 0.2898 Ca
0.5639 0.5639 0.7102 Ca

***

Entry Q
Ba3Sr2Ca2 (PBE, optimized geometry); total moment = 0.0 μB per formula unit; volume = 54.643 A^3/atom; SG = C2/m
1.0
10.0130 -2.0575 0.0000
10.0130 2.0575 0.0000
-5.0954 0.0000 9.2833
Ba Sr Ca
3 2 2
Direct
0.0000 0.0000 0.0000 Ba
0.0772 0.0772 0.4316 Ba
0.9228 0.9228 0.5684 Ba
0.3519 0.3519 0.1555 Sr
0.6481 0.6481 0.8445 Sr
0.2926 0.2926 0.7127 Ca
0.7074 0.7074 0.2873 Ca

***

Energy comparison, zero being the most stable, in meV/atom: entry P 0; entry Q 32.

***

Entry P
Ba8Sr3Ca2 (PBE, optimized geometry); total moment = 0.0 μB per formula unit; volume = 62.747 A^3/atom; SG = R-3m
1.0
4.0014 2.3102 14.7071
-4.0014 2.3102 14.7071
0.0000 -4.6204 14.7071
Ba Sr Ca
8 3 2
Direct
0.2228 0.2228 0.2228 Ba
0.2250 0.2250 0.7292 Ba
0.2250 0.7292 0.2250 Ba
0.2708 0.7750 0.7750 Ba
0.7292 0.2250 0.2250 Ba
0.7750 0.2708 0.7750 Ba
0.7750 0.7750 0.2708 Ba
0.7772 0.7772 0.7772 Ba
0.3155 0.3155 0.3155 Sr
0.5000 0.5000 0.5000 Sr
0.6845 0.6845 0.6845 Sr
0.1355 0.1355 0.1355 Ca
0.8645 0.8645 0.8645 Ca

***

Entry Q
Ba8Sr3Ca2 (PBE, optimized geometry); total moment = 0.0 μB per formula unit; volume = 62.342 A^3/atom; SG = C2/m
1.0
9.5251 -5.7461 0.0000
9.5251 5.7461 0.0000
-2.8070 0.0000 7.4037
Ba Sr Ca
8 3 2
Direct
0.0617 0.6863 0.3187 Ba
0.1079 0.1079 0.1769 Ba
0.3092 0.3092 0.5875 Ba
0.3137 0.9383 0.6813 Ba
0.6863 0.0617 0.3187 Ba
0.6908 0.6908 0.4125 Ba
0.8921 0.8921 0.8231 Ba
0.9383 0.3137 0.6813 Ba
0.3281 0.6719 0.0000 Sr
0.5000 0.5000 0.5000 Sr
0.6719 0.3281 0.0000 Sr
0.3068 0.3068 0.0692 Ca
0.6932 0.6932 0.9308 Ca

***

Energy comparison, zero being the most stable, in meV/atom: entry P 38; entry Q 0.